No. 1
Entry from OQMD: crystalline ZnW at its relaxed geometry (PBE).

Results
* size of the total moment: 0.0 μB/f.u.
* space-group type: Pmmn (59)
* ΔE to the lowest computed polymorph: 74 meV per atom
* formation enthalpy at 0 K: 0.296 eV/atom
* calculated volume: 15.17 Å³/atom

a b c (Å): 4.3277 12.9758 4.3229
angles (deg): 90.00 90.00 90.00
Positions (direct):
W (0.9180, 0.2539, 0.0000)
W (0.4184, 0.3750, 0.0000)
W (0.9180, 0.4961, 0.0000)
W (0.4151, 0.8750, 0.0000)
W (0.9182, 0.3750, 0.5000)
W (0.4153, 0.7539, 0.5000)
W (0.9149, 0.8750, 0.5000)
W (0.4153, 0.9961, 0.5000)
Zn (0.9155, 0.0101, 0.0000)
Zn (0.4170, 0.1250, 0.0000)
Zn (0.4170, 0.6250, 0.0000)
Zn (0.9155, 0.7399, 0.0000)
Zn (0.9163, 0.1250, 0.5000)
Zn (0.4178, 0.2399, 0.5000)
Zn (0.4178, 0.5101, 0.5000)
Zn (0.9163, 0.6250, 0.5000)

No. 2
Entry from OQMD: crystalline LiScCuSb at its relaxed geometry (PBE).

Results
* size of the total moment: 0.0 μB/f.u.
* space-group type: F-43m (216)
* ΔE to the lowest computed polymorph: 0 meV per atom
* calculated volume: 18.04 Å³/atom

a b c (Å): 4.6729 4.6729 4.6729
angles (deg): 60.00 60.00 60.00
Positions (direct):
Cu (0.5000, 0.5000, 0.5000)
Li (0.2500, 0.2500, 0.2500)
Sb (0.0000, 0.0000, 0.0000)
Sc (0.7500, 0.7500, 0.7500)

No. 3
Entry from OQMD: crystalline Gd2Si2O7 at its relaxed geometry (PBE).

Results
* size of the total moment: 0.0 μB/f.u.
* space-group type: P-1 (2)
* electronic total energy: -8.189 eV/atom
* calculated volume: 12.11 Å³/atom

a b c (Å): 6.6339 6.6733 12.0791
angles (deg): 94.27 90.60 91.53
Positions (direct):
Gd (0.3308, 0.8275, 0.1070)
Gd (0.0534, 0.3283, 0.1159)
Gd (0.1174, 0.0886, 0.3592)
Gd (0.6294, 0.7740, 0.3696)
Gd (0.3706, 0.2260, 0.6304)
Gd (0.8826, 0.9114, 0.6408)
Gd (0.9466, 0.6717, 0.8841)
Gd (0.6692, 0.1725, 0.8930)
O (0.2404, 0.0906, 0.0027)
O (0.0008, 0.6656, 0.0816)
O (0.7015, 0.2898, 0.0922)
O (0.3594, 0.4897, 0.1250)
O (0.9996, 0.0121, 0.1838)
O (0.6534, 0.7860, 0.1886)
O (0.3802, 0.1392, 0.2113)
O (0.6029, 0.4279, 0.3032)
O (0.2863, 0.7785, 0.3134)
O (0.0724, 0.4180, 0.3144)
O (0.7743, 0.0910, 0.3758)
O (0.9637, 0.7706, 0.4304)
O (0.4165, 0.1682, 0.4443)
O (0.2918, 0.5733, 0.4909)
O (0.7083, 0.4267, 0.5091)
O (0.5835, 0.8318, 0.5557)
O (0.0363, 0.2294, 0.5696)
O (0.2257, 0.9090, 0.6242)
O (0.9276, 0.5820, 0.6856)
O (0.7137, 0.2215, 0.6866)
O (0.3971, 0.5721, 0.6968)
O (0.6198, 0.8608, 0.7887)
O (0.3466, 0.2140, 0.8114)
O (0.0004, 0.9879, 0.8162)
O (0.6406, 0.5103, 0.8750)
O (0.2985, 0.7102, 0.9078)
O (0.9992, 0.3344, 0.9184)
O (0.7596, 0.9094, 0.9973)
Si (0.8447, 0.8494, 0.1166)
Si (0.5136, 0.3328, 0.1739)
Si (0.1445, 0.6250, 0.3831)
Si (0.6242, 0.2714, 0.4034)
Si (0.3758, 0.7286, 0.5966)
Si (0.8555, 0.3750, 0.6169)
Si (0.4864, 0.6672, 0.8261)
Si (0.1553, 0.1506, 0.8834)